Record 1
# HgSb2ClO PBE optimized geometry
# - uncorrected energy (eV per atom) = -2.55
data_HgSb2ClO
_chemical_formula_sum 'Hg1 Sb2 Cl1 O1'
_space_group_name_H-M_alt 'P 4/m m m'
_space_group_IT_number 123
_space_group_name_Hall '-P 4 2'
_cell_length_a 5.712
_cell_length_b 5.712
_cell_length_c 4.094
_cell_angle_alpha 90.00
_cell_angle_beta 90.00
_cell_angle_gamma 90.00
loop_
_atom_site_label
_atom_site_type_symbol
_atom_site_fract_x
_atom_site_fract_y
_atom_site_fract_z
Hg1 Hg 0.000 0.000 0.000
Sb1 Sb 0.000 0.500 0.000
Cl1 Cl 0.500 0.500 0.500
O1 O 0.000 0.000 0.500

***

Record 2
# Sc2HgClO PBE optimized geometry
# - uncorrected energy (eV per atom) = -3.86
data_Sc2HgClO
_chemical_formula_sum 'Sc2 Hg1 Cl1 O1'
_space_group_name_H-M_alt 'P 4/m m m'
_space_group_IT_number 123
_space_group_name_Hall '-P 4 2'
_cell_length_a 5.312
_cell_length_b 5.312
_cell_length_c 4.407
_cell_angle_alpha 90.00
_cell_angle_beta 90.00
_cell_angle_gamma 90.00
loop_
_atom_site_label
_atom_site_type_symbol
_atom_site_fract_x
_atom_site_fract_y
_atom_site_fract_z
Sc1 Sc 0.000 0.500 0.000
Hg1 Hg 0.000 0.000 0.000
Cl1 Cl 0.500 0.500 0.500
O1 O 0.000 0.000 0.500

***

Record 3
# Hg2Se2ClO6 PBE optimized geometry
# - uncorrected energy (eV per atom) = -4.04
data_Hg2Se2ClO6
_chemical_formula_sum 'Hg2 Se2 Cl1 O6'
_space_group_name_H-M_alt 'P -1'
_space_group_IT_number 2
_space_group_name_Hall '-P 1'
_cell_length_a 4.688
_cell_length_b 5.690
_cell_length_c 8.430
_cell_angle_alpha 95.23
_cell_angle_beta 92.81
_cell_angle_gamma 107.63
loop_
_atom_site_label
_atom_site_type_symbol
_atom_site_fract_x
_atom_site_fract_y
_atom_site_fract_z
Hg1 Hg 0.162 0.251 0.382
Se1 Se 0.152 0.384 0.811
Cl1 Cl 0.500 0.000 0.500
O1 O 0.023 0.068 0.804
O2 O 0.150 0.504 0.180
O3 O 0.261 0.472 0.622

***

Record 4
# SrHgCl2O PBE optimized geometry
# - excess energy over the best structure of this formula in the dataset (eV/atom) = 1.154
# - uncorrected energy (eV per atom) = -2.46
data_SrHgCl2O
_chemical_formula_sum 'Sr1 Hg1 Cl2 O1'
_space_group_name_H-M_alt 'P 4/m m m'
_space_group_IT_number 123
_space_group_name_Hall '-P 4 2'
_cell_length_a 4.923
_cell_length_b 4.923
_cell_length_c 7.348
_cell_angle_alpha 90.00
_cell_angle_beta 90.00
_cell_angle_gamma 90.00
loop_
_atom_site_label
_atom_site_type_symbol
_atom_site_fract_x
_atom_site_fract_y
_atom_site_fract_z
Sr1 Sr 0.000 0.000 0.000
Hg1 Hg 0.000 0.000 0.500
Cl1 Cl 0.000 0.500 0.500
O1 O 0.500 0.500 0.000

***

Record 5
# SrHgCl2O PBE optimized geometry
# - excess energy over the best structure of this formula in the dataset (eV/atom) = 0.000
# - uncorrected energy (eV per atom) = -3.61
data_SrHgCl2O
_chemical_formula_sum 'Sr4 Hg4 Cl8 O4'
_space_group_name_H-M_alt 'C m c m'
_space_group_IT_number 63
_space_group_name_Hall '-C 2c 2'
_cell_length_a 4.124
_cell_length_b 12.713
_cell_length_c 8.564
_cell_angle_alpha 90.00
_cell_angle_beta 90.00
_cell_angle_gamma 90.00
loop_
_atom_site_label
_atom_site_type_symbol
_atom_site_fract_x
_atom_site_fract_y
_atom_site_fract_z
Sr1 Sr 0.000 0.190 0.250
Hg1 Hg 0.000 0.500 0.000
Cl1 Cl 0.000 0.151 0.573
O1 O 0.000 0.426 0.750

***

Record 6
# SrHg2ClO2 PBE optimized geometry
# - uncorrected energy (eV per atom) = -3.37
data_SrHg2ClO2
_chemical_formula_sum 'Sr2 Hg4 Cl2 O4'
_space_group_name_H-M_alt 'P 1 21/m 1'
_space_group_IT_number 11
_space_group_name_Hall '-P 2yb'
_cell_length_a 6.920
_cell_length_b 6.365
_cell_length_c 7.782
_cell_angle_alpha 90.00
_cell_angle_beta 103.51
_cell_angle_gamma 90.00
loop_
_atom_site_label
_atom_site_type_symbol
_atom_site_fract_x
_atom_site_fract_y
_atom_site_fract_z
Sr1 Sr 0.184 0.250 0.014
Hg1 Hg 0.098 0.750 0.663
Hg2 Hg 0.212 0.750 0.354
Cl1 Cl 0.461 0.750 0.143
O1 O 0.023 0.005 0.188

***

Record 7
# SrHg2Cl2O2 PBE optimized geometry
# - uncorrected energy (eV per atom) = -3.54
data_SrHg2Cl2O2
_chemical_formula_sum 'Sr4 Hg8 Cl8 O8'
_space_group_name_H-M_alt 'P 1 21/c 1'
_space_group_IT_number 14
_space_group_name_Hall '-P 2ybc'
_cell_length_a 8.458
_cell_length_b 7.162
_cell_length_c 11.771
_cell_angle_alpha 90.00
_cell_angle_beta 122.01
_cell_angle_gamma 90.00
loop_
_atom_site_label
_atom_site_type_symbol
_atom_site_fract_x
_atom_site_fract_y
_atom_site_fract_z
Sr1 Sr 0.150 0.124 0.375
Hg1 Hg 0.236 0.563 0.607
Hg2 Hg 0.397 0.671 0.369
Cl1 Cl 0.085 0.183 0.625
Cl2 Cl 0.454 0.599 0.113
O1 O 0.152 0.682 0.731
O2 O 0.326 0.079 0.996

***

Record 8
# Sr2HgCl2O2 PBE optimized geometry
# - uncorrected energy (eV per atom) = -4.52
data_Sr2HgCl2O2
_chemical_formula_sum 'Sr4 Hg2 Cl4 O4'
_space_group_name_H-M_alt 'C 1 2/m 1'
_space_group_IT_number 12
_space_group_name_Hall '-C 2y'
_cell_length_a 12.651
_cell_length_b 4.076
_cell_length_c 7.385
_cell_angle_alpha 90.00
_cell_angle_beta 118.84
_cell_angle_gamma 90.00
loop_
_atom_site_label
_atom_site_type_symbol
_atom_site_fract_x
_atom_site_fract_y
_atom_site_fract_z
Sr1 Sr 0.218 0.000 0.257
Hg1 Hg 0.000 0.000 0.500
Cl1 Cl 0.103 0.500 0.910
O1 O 0.172 0.000 0.548